La2SmSi3Pt4 | PBE-GGA | optimized geometry

## Properties
Fermi-level density of states in states/eV per cell: 6.446
VASP energy in eV/atom: -6.55

abc: 4.3392 4.3392 10.9239
angles: 90.00 90.00 90.00
Closest atoms and distances in Å follow each position.
Element x y z (fractional)
La  0.0000  0.5000  0.2271  8 Pt 3.28-3.30, 4 Si 3.31
La  0.5000  0.0000  0.7729  8 Pt 3.28-3.30, 4 Si 3.31
Sm  0.0000  0.0000  0.5000  4 Pt 2.83, 4 Si 3.07
Si  0.0000  0.5000  0.8859  5 Pt 2.40-2.50
Si  0.5000  0.0000  0.1141  5 Pt 2.40-2.50
Si  0.5000  0.5000  0.5000  4 Pt 2.83, 4 Sm 3.07
Pt  0.0000  0.0000  0.0000  4 Si 2.50
Pt  0.0000  0.5000  0.6658  1 Si 2.40
Pt  0.5000  0.0000  0.3342  1 Si 2.40
Pt  0.5000  0.5000  0.0000  4 Si 2.50

LaZrCu | PBE-GGA | optimized geometry

## Properties
Fermi-level density of states in states/eV per cell: 6.833
E_form in meV/atom: -22

abc: 4.8913 3.4501 8.6282
angles: 90.00 106.38 90.00
Closest atoms and distances in Å follow each position.
Element x y z (fractional)
La  0.1815  0.0000  0.3624  4 Cu 3.10, 4 La 3.34-3.45, 2 Zr 3.46
La  0.8185  0.0000  0.6376  4 Cu 3.10, 4 La 3.34-3.45, 2 Zr 3.46
Zr  0.0000  0.5000  0.0000  4 Zr 2.99, 4 Cu 3.28-3.29
Zr  0.5000  0.0000  0.0000  4 Cu 2.80, 4 Zr 2.99
Cu  0.3665  0.5000  0.7343  2 Zr 2.80, 4 La 3.10
Cu  0.6335  0.5000  0.2657  2 Zr 2.80, 4 La 3.10

BeTcTeI2 | PBE-GGA | optimized geometry

## Properties
Fermi-level density of states in states/eV per cell: 4.241
VASP energy in eV/atom: -3.15

abc: 5.6215 5.6215 5.0753
angles: 90.00 90.00 90.00
Closest atoms and distances in Å follow each position.
Element x y z (fractional)
Be  0.0000  0.0000  0.0000  8 I 3.79, 4 Te 3.97
Tc  0.5000  0.5000  0.5000  2 Te 2.54, 4 I 2.81
Te  0.5000  0.5000  0.0000  2 Tc 2.54
I  0.0000  0.5000  0.5000  2 Tc 2.81
I  0.5000  0.0000  0.5000  2 Tc 2.81

Rb12CdO7 | PBE-GGA | optimized geometry

## Properties
Fermi-level density of states in states/eV per cell: 23.983
VASP energy in eV/atom: -3.20

abc: 8.9947 8.9947 8.9947
angles: 106.65 106.65 106.65
Closest atoms and distances in Å follow each position.
Element x y z (fractional)
Rb  0.0701  0.1467  0.3420  3 O 2.65-2.77
Rb  0.1467  0.3420  0.0701  3 O 2.65-2.77
Rb  0.1916  0.5713  0.6946  2 O 2.61-2.72
Rb  0.3054  0.8084  0.4287  2 O 2.61-2.72
Rb  0.3420  0.0701  0.1467  3 O 2.65-2.77
Rb  0.4287  0.3054  0.8084  2 O 2.61-2.72
Rb  0.5713  0.6946  0.1916  2 O 2.61-2.72
Rb  0.6580  0.9299  0.8533  3 O 2.65-2.77
Rb  0.6946  0.1916  0.5713  2 O 2.61-2.72
Rb  0.8084  0.4287  0.3054  2 O 2.61-2.72
Rb  0.8533  0.6580  0.9299  3 O 2.65-2.77
Rb  0.9299  0.8533  0.6580  3 O 2.65-2.77
Cd  0.5000  0.5000  0.5000  6 O 2.73
O  0.0000  0.0000  0.0000  6 Rb 2.77
O  0.1764  0.4794  0.3857  4 Rb 2.61-2.74, 1 Cd 2.73
O  0.3857  0.1764  0.4794  4 Rb 2.61-2.74, 1 Cd 2.73
O  0.4794  0.3857  0.1764  4 Rb 2.61-2.74, 1 Cd 2.73
O  0.5206  0.6143  0.8236  4 Rb 2.61-2.74, 1 Cd 2.73
O  0.6143  0.8236  0.5206  4 Rb 2.61-2.74, 1 Cd 2.73
O  0.8236  0.5206  0.6143  4 Rb 2.61-2.74, 1 Cd 2.73

RbGe2BiI8 | PBE-GGA | optimized geometry

## Properties
VASP energy in eV/atom: -2.70

abc: 7.6837 7.8587 10.0658
angles: 78.22 81.68 80.79
Closest atoms and distances in Å follow each position.
Element x y z (fractional)
Rb  0.0000  0.0000  0.0000  6 I 3.60-3.98
Ge  0.4584  0.4376  0.2321  3 I 2.74-2.97
Ge  0.5416  0.5624  0.7679  3 I 2.74-2.97
Bi  0.0000  0.0000  0.5000  6 I 3.10-3.14
I  0.1716  0.7304  0.7374  1 Ge 2.97, 1 Bi 3.14
I  0.2191  0.7825  0.2933  1 Bi 3.10, 1 Ge 3.14
I  0.3024  0.2324  0.4731  1 Ge 2.85, 1 Bi 3.13
I  0.3678  0.2874  0.0336  1 Ge 2.74
I  0.6322  0.7126  0.9664  1 Ge 2.74
I  0.6976  0.7676  0.5269  1 Ge 2.85, 1 Bi 3.13
I  0.7809  0.2175  0.7067  1 Bi 3.10, 1 Ge 3.14
I  0.8284  0.2696  0.2626  1 Ge 2.97, 1 Bi 3.14

Al4SbP | PBE-GGA | optimized geometry

## Properties
Fermi-level density of states in states/eV per cell: 2.511
VASP energy in eV/atom: -3.75

abc: 5.4190 5.4190 5.4190
angles: 60.00 60.00 60.00
Closest atoms and distances in Å follow each position.
Element x y z (fractional)
Al  0.1248  0.1248  0.1248  6 Al 2.71
Al  0.1248  0.1248  0.6255  6 Al 2.71
Al  0.1248  0.6255  0.1248  6 Al 2.71
Al  0.6255  0.1248  0.1248  6 Al 2.71
Sb  0.5000  0.5000  0.5000  12 Al 3.18, 4 P 3.32
P  0.7500  0.7500  0.7500  12 Al 3.18, 4 Sb 3.32

Dy12ZrSc7 | PBE-GGA | optimized geometry

## Properties
Fermi-level density of states in states/eV per cell: 28.178
E_form in meV/atom: 140

abc: 9.2178 9.2178 9.2178
angles: 110.56 110.56 110.56
Closest atoms and distances in Å follow each position.
Element x y z (fractional)
Dy  0.0850  0.5866  0.3809  4 Sc 3.33-3.51, 8 Dy 3.49-3.70
Dy  0.0963  0.1566  0.7317  4 Sc 3.25-3.48, 7 Dy 3.48-3.57
Dy  0.1566  0.7317  0.0963  4 Sc 3.25-3.48, 7 Dy 3.48-3.57
Dy  0.2683  0.9037  0.8434  4 Sc 3.25-3.48, 7 Dy 3.48-3.57
Dy  0.3809  0.0850  0.5866  4 Sc 3.33-3.51, 8 Dy 3.49-3.70
Dy  0.4134  0.6191  0.9150  4 Sc 3.33-3.51, 8 Dy 3.49-3.70
Dy  0.5866  0.3809  0.0850  4 Sc 3.33-3.51, 8 Dy 3.49-3.70
Dy  0.6191  0.9150  0.4134  4 Sc 3.33-3.51, 8 Dy 3.49-3.70
Dy  0.7317  0.0963  0.1566  4 Sc 3.25-3.48, 7 Dy 3.48-3.57
Dy  0.8434  0.2683  0.9037  4 Sc 3.25-3.48, 7 Dy 3.48-3.57
Dy  0.9037  0.8434  0.2683  4 Sc 3.25-3.48, 7 Dy 3.48-3.57
Dy  0.9150  0.4134  0.6191  4 Sc 3.33-3.51, 8 Dy 3.49-3.70
Zr  0.5000  0.5000  0.5000  6 Sc 2.78
Sc  0.0000  0.0000  0.0000  6 Sc 3.39, 6 Dy 3.48
Sc  0.1657  0.2843  0.4499  1 Zr 2.78
Sc  0.2843  0.4499  0.1657  1 Zr 2.78
Sc  0.4499  0.1657  0.2843  1 Zr 2.78
Sc  0.5501  0.8343  0.7157  1 Zr 2.78
Sc  0.7157  0.5501  0.8343  1 Zr 2.78
Sc  0.8343  0.7157  0.5501  1 Zr 2.78

Pu2AsH | PBE-GGA | optimized geometry

## Properties
Fermi-level density of states in states/eV per cell: 15.762
VASP energy in eV/atom: -9.70

abc: 6.4245 6.4245 6.4245
angles: 35.88 35.88 35.88
Closest atoms and distances in Å follow each position.
Element x y z (fractional)
Pu  0.2356  0.2356  0.2356  3 H 2.60, 3 As 2.88
Pu  0.7644  0.7644  0.7644  3 H 2.60, 3 As 2.88
As  0.0000  0.0000  0.0000  6 Pu 2.88
H  0.5000  0.5000  0.5000  6 Pu 2.60

CdCo2Ag | PBE-GGA | optimized geometry

## Properties
Fermi-level density of states in states/eV per cell: 5.826
E_form in meV/atom: 440

abc: 4.8737 4.8737 2.7442
angles: 90.17 90.17 112.10
Closest atoms and distances in Å follow each position.
Element x y z (fractional)
Cd  0.0000  0.0000  0.0000  2 Ag 2.72, 2 Cd 2.74, 8 Co 2.79-2.80
Co  0.0000  0.5000  0.5000  4 Co 2.72-2.74, 4 Ag 2.79-2.80, 4 Cd 2.79-2.80
Co  0.5000  0.0000  0.5000  4 Co 2.72-2.74, 4 Ag 2.79-2.80, 4 Cd 2.79-2.80
Ag  0.5000  0.5000  0.0000  2 Cd 2.72, 2 Ag 2.74, 8 Co 2.79-2.80

CaAuCl2 | PBE-GGA | optimized geometry

## Properties
Fermi-level density of states in states/eV per cell: 5.010
VASP energy in eV/atom: -3.29

abc: 5.0335 5.0335 5.0335
angles: 60.00 60.00 60.00
Closest atoms and distances in Å follow each position.
Element x y z (fractional)
Ca  0.0000  0.0000  0.0000  8 Cl 3.08
Au  0.5000  0.5000  0.5000  8 Cl 3.08
Cl  0.2500  0.2500  0.2500  4 Ca 3.08, 4 Au 3.08
Cl  0.7500  0.7500  0.7500  4 Ca 3.08, 4 Au 3.08

ErZnCo | PBE-GGA | optimized geometry

## Properties
Fermi-level density of states in states/eV per cell: 2.268
E_form in meV/atom: -154

abc: 5.2801 5.2801 5.2801
angles: 143.49 143.49 52.59
Closest atoms and distances in Å follow each position.
Element x y z (fractional)
Er  0.0000  0.0000  0.0000  5 Zn 2.80-3.03, 5 Co 2.88-3.05
Zn  0.7038  0.7038  0.0000  4 Co 2.59, 1 Er 2.80
Co  0.3221  0.3221  0.0000  4 Zn 2.59, 4 Er 2.88

HoHfSb2 | PBE-GGA | optimized geometry

## Properties
Fermi-level density of states in states/eV per cell: 1.888
VASP energy in eV/atom: -5.82

abc: 10.1764 10.1764 10.1764
angles: 21.40 21.40 21.40
Closest atoms and distances in Å follow each position.
Element x y z (fractional)
Ho  0.0000  0.0000  0.0000  2 Sb 3.05
Hf  0.5000  0.5000  0.5000  6 Sb 2.91
Sb  0.1023  0.1023  0.1023  3 Hf 2.91, 1 Ho 3.05
Sb  0.8977  0.8977  0.8977  3 Hf 2.91, 1 Ho 3.05

K3Tl2Cd | PBE-GGA | optimized geometry

## Properties
Fermi-level density of states in states/eV per cell: 10.210
E_form in meV/atom: -65

abc: 8.0703 11.9354 11.3949
angles: 90.00 117.86 90.00
Closest atoms and distances in Å follow each position.
Element x y z (fractional)
K  0.1043  0.1458  0.4651  3 Tl 3.63-3.84, 2 Cd 3.72-3.85, 2 K 3.94-3.95
K  0.1043  0.3542  0.9651  3 Tl 3.63-3.84, 2 Cd 3.72-3.85, 2 K 3.94-3.95
K  0.2096  0.5169  0.6845  2 Cd 3.51-3.62, 4 Tl 3.69-3.76
K  0.2096  0.9831  0.1845  2 Cd 3.51-3.62, 4 Tl 3.69-3.76
K  0.3282  0.1090  0.8532  5 Tl 3.78-4.05, 4 K 3.94-4.12, 1 Cd 3.95
K  0.3282  0.3910  0.3532  5 Tl 3.78-4.05, 4 K 3.94-4.12, 1 Cd 3.95
K  0.6718  0.6090  0.6468  5 Tl 3.78-4.05, 4 K 3.94-4.12, 1 Cd 3.95
K  0.6718  0.8910  0.1468  5 Tl 3.78-4.05, 4 K 3.94-4.12, 1 Cd 3.95
K  0.7904  0.0169  0.8155  2 Cd 3.51-3.62, 4 Tl 3.69-3.76
K  0.7904  0.4831  0.3155  2 Cd 3.51-3.62, 4 Tl 3.69-3.76
K  0.8957  0.6458  0.0349  3 Tl 3.63-3.84, 2 Cd 3.72-3.85, 2 K 3.94-3.95
K  0.8957  0.8542  0.5349  3 Tl 3.63-3.84, 2 Cd 3.72-3.85, 2 K 3.94-3.95
Tl  0.1562  0.6988  0.4007  1 Cd 3.02, 1 Tl 3.12
Tl  0.1562  0.8012  0.9007  1 Cd 3.02, 1 Tl 3.12
Tl  0.4187  0.6947  0.2691  1 Cd 3.04, 1 Tl 3.12
Tl  0.4187  0.8053  0.7691  1 Cd 3.04, 1 Tl 3.12
Tl  0.5813  0.1947  0.2309  1 Cd 3.04, 1 Tl 3.12
Tl  0.5813  0.3053  0.7309  1 Cd 3.04, 1 Tl 3.12
Tl  0.8438  0.1988  0.0993  1 Cd 3.02, 1 Tl 3.12
Tl  0.8438  0.3012  0.5993  1 Cd 3.02, 1 Tl 3.12
Cd  0.4121  0.6018  0.0182  1 Cd 2.94, 2 Tl 3.02-3.04
Cd  0.4121  0.8982  0.5182  1 Cd 2.94, 2 Tl 3.02-3.04
Cd  0.5879  0.1018  0.4818  1 Cd 2.94, 2 Tl 3.02-3.04
Cd  0.5879  0.3982  0.9818  1 Cd 2.94, 2 Tl 3.02-3.04